# 1
TcHgAu2 | meta-GGA SCAN | single point on PBEsol structure

Cell lengths 2.8753, 2.8753, 28.1684 Å; angles 90.00, 90.00, 120.00 degrees
Closest atoms and distances in Å follow each position.
Space group R3m (No. 160, hexagonal axes)
Asymmetric unit:
Tc1 0.0000 0.0000 0.0000  3 Au 2.74, 6 Tc 2.88, 3 Hg 2.88
Hg1 0.0000 0.0000 0.7501  6 Hg 2.88, 3 Tc 2.88, 3 Au 2.99
Au1 0.0000 0.0000 0.2560  3 Tc 2.74, 9 Au 2.88-2.89
Au2 0.0000 0.0000 0.5053  9 Au 2.88-2.89, 3 Hg 2.99

## Properties
The total energy comes out at -60.05 eV per atom. The calculation puts the density of states at the Fermi level at 2.31 states/eV/f.u. The calculation puts the size of the total moment at 0.000 μB/atom. For the volume, the calculation gives 201.7 Å³/cell.

# 2
TcHg2Au | meta-GGA SCAN | single point on PBEsol structure

Cell lengths 6.6158, 6.6158, 6.6158 Å; angles 90.00, 90.00, 90.00 degrees
Closest atoms and distances in Å follow each position.
Space group F-43m (No. 216)
Asymmetric unit:
Tc1 0.0000 0.0000 0.0000  4 Au 2.86, 4 Hg 2.86
Hg1 0.0000 0.0000 0.5000  4 Hg 2.86, 4 Au 2.86
Hg2 0.2500 0.2500 0.7500  4 Hg 2.86, 4 Tc 2.86
Au1 0.2500 0.2500 0.2500  4 Hg 2.86, 4 Tc 2.86

## Properties
The total energy comes out at -59.59 eV per atom. The calculation puts the density of states at the Fermi level at 1.60 states/eV/f.u. The calculation puts the size of the total moment at 0.725 μB/atom. For the volume, the calculation gives 289.6 Å³/cell. The calculation puts the distance to the lowest polymorph of the same formula at 0.3 kJ per mole of atoms.

Number 1: energy relative to the elements 0.338 eV per atom. Number 2: energy relative to the elements 0.546 eV per atom.